Entry 1:
The following is a PBE-GGA calculation of a geometry-optimized Nb8V2Ru3 structure, from Alexandria.

Properties
As for the energy of formation from the pure elements: 3.682 eV per formula unit. The density of states at the Fermi level comes out at 1.286 states/eV/atom. For the total energy, the calculation gives -9.457 eV per atom. The volume comes out at 461.0 Å³/cell.

Unit cell a=11.8600 b=7.5181 c=5.1873 alpha=90.00 beta=94.62 gamma=90.00
With the nearest neighbours (Å) after each atom.
Space group C2/m (No. 12)
Inequivalent atoms, fractional coordinates:
1 Nb 0.1017 0.0000 0.4053 x4  4 Nb 2.68-2.87, 2 Ru 2.75, 1 V 2.77
2 Nb 0.1214 0.1816 0.9239 x8  2 V 2.62-2.91, 2 Nb 2.73-2.87, 2 Ru 2.73-2.84
3 Nb 0.1834 0.5000 0.2975 x4  3 Ru 2.56-2.84, 2 V 2.59-2.60
4 V 0.1894 0.5000 0.7994 x4  1 Ru 2.55, 5 Nb 2.59-2.77
5 Ru 0.0000 0.3190 0.5000 x4  3 Ru 2.72-2.93, 6 Nb 2.73-2.84, 2 V 2.96
6 Ru 0.0000 0.5000 0.0000 x2  2 V 2.55, 6 Nb 2.56-2.84

Entry 2:
The following is a PBE-GGA calculation of a geometry-optimized PuAl4ZnPd2 structure, from Alexandria.

Properties
As for the energy of formation from the pure elements: -3.354 eV per formula unit. The density of states at the Fermi level comes out at 1.438 states/eV/atom. For the total energy, the calculation gives -5.539 eV per atom. The volume comes out at 423.6 Å³/cell.

Unit cell a=4.2903 b=4.2903 c=26.5733 alpha=90.00 beta=90.00 gamma=120.00
With the nearest neighbours (Å) after each atom.
Space group R-3m (No. 166, hexagonal axes)
Inequivalent atoms, fractional coordinates:
1 Pu 0.0000 0.0000 0.0000 x3  8 Al 3.06-3.36
2 Al 0.0000 0.0000 0.1264 x6  4 Pd 2.58-2.87, 3 Zn 2.70
3 Al 0.0000 0.0000 0.4008 x6  3 Pd 2.61, 1 Zn 2.64
4 Zn 0.0000 0.0000 0.5000 x3  8 Al 2.64-2.70
5 Pd 0.0000 0.0000 0.2344 x6  7 Al 2.58-2.87

Entry 3:
The following is a PBE-GGA calculation of a geometry-optimized Ba2SmTlS5 structure, from Alexandria.

Properties
Its energy relative to the elements, uncorrected is -1.572 eV per atom. For the total energy, the calculation gives -5.080 eV per atom. The volume comes out at 1013.4 Å³/cell.

Unit cell a=4.2088 b=18.4617 c=13.0419 alpha=90.00 beta=90.00 gamma=90.00
With the nearest neighbours (Å) after each atom.
Space group Cmc2_1 (No. 36)
Inequivalent atoms, fractional coordinates:
1 Ba 0.0000 0.1170 0.0000 x4  8 S 3.21-3.51
2 Ba 0.0000 0.1347 0.6284 x4  7 S 3.22-3.41
3 Sm 0.0000 0.2122 0.3320 x4  5 S 2.70-2.88
4 Tl 0.0000 0.4559 0.7616 x4  3 S 2.48-2.58
5 S 0.0000 0.0514 0.3759 x4  2 Tl 2.58
6 S 0.0000 0.2898 0.9731 x4  2 Sm 2.80
7 S 0.0000 0.3150 0.6867 x4  1 Tl 2.78, 2 Sm 2.88
8 S 0.0000 0.3578 0.3177 x4  1 Sm 2.70
9 S 0.0000 0.4940 0.0855 x4  1 Tl 2.48